one:
The following is a DFT calculation (PBE) of a geometry-optimized SrTlIn3 structure.

Cell: 6.1980 6.1980 6.1980 Å, 90.00 90.00 90.00°
With the nearest neighbours (Å) after each atom.
Space group Pm-3m (No. 221)
Asymmetric unit:
Sr1 0.0000 0.0000 0.0000  6 In 3.10
Tl1 0.5000 0.5000 0.5000  12 In 4.38
In1 0.0000 0.0000 0.5000  2 Sr 3.10



two:
The following is a DFT calculation (PBE) of a geometry-optimized SrTlIn3 structure.

Cell: 6.5139 6.8764 6.8835 Å, 90.00 90.00 90.00°
With the nearest neighbours (Å) after each atom.
Space group Pmn2_1 (No. 31)
Asymmetric unit:
Sr1 0.0000 0.2397 0.0000  3 Tl 3.39-3.54, 3 In 3.43-3.60
Tl1 0.0000 0.8996 0.3558  5 In 2.92-3.13
In1 0.0000 0.6000 0.6564  1 Tl 2.92, 4 In 3.04-3.05
In2 0.2498 0.2588 0.5015  4 In 3.04-3.26, 2 Tl 3.12-3.13



two is the most stable structure; the next one sits 0.793 eV/atom above it.



one:
The following is a DFT calculation (PBE) of a geometry-optimized Sr3TlIn structure.

Cell: 5.8172 22.5723 5.8158 Å, 90.00 90.00 90.00°
With the nearest neighbours (Å) after each atom.
Space group Cmcm (No. 63)
Asymmetric unit:
Sr1 0.0000 0.0724 0.2500  2 Tl 3.47, 2 In 3.48
Sr2 0.0000 0.2499 0.2500  4 In 3.58, 4 Tl 3.59, 2 Sr 4.00-4.01
Sr3 0.0000 0.4272 0.2500  2 Tl 3.47, 2 In 3.48
Tl1 0.0000 0.3434 0.7500  8 Sr 3.47-3.59
In1 0.0000 0.1573 0.7500  8 Sr 3.48-3.58



two:
The following is a DFT calculation (PBE) of a geometry-optimized Sr3TlIn structure.

Cell: 8.7835 4.9114 10.2199 Å, 90.00 111.48 90.00°
With the nearest neighbours (Å) after each atom.
Space group Pm (No. 6)
Asymmetric unit:
Sr1 0.0000 0.0000 0.0000  3 Tl 3.49-3.54, 2 In 3.73
Sr2 0.0648 0.5000 0.6643  2 Tl 3.44
Sr3 0.3592 0.0000 0.4881  1 Tl 3.45, 4 In 3.45-3.66, 1 Sr 3.85
Sr4 0.4275 0.5000 0.1952  1 In 3.41, 1 Tl 3.51
Sr5 0.4956 0.0000 0.8913  2 Tl 3.38, 2 In 3.46
Sr6 0.8362 0.0000 0.3259  3 Tl 3.40-3.45, 2 In 3.45
Tl1 0.7512 0.5000 0.0721  2 In 3.05-3.33, 2 Sr 3.38
Tl2 0.7810 0.0000 0.6378  2 In 3.04, 1 Sr 3.40
In1 0.0967 0.5000 0.2943  1 Tl 3.05, 1 Sr 3.41
In2 0.6345 0.5000 0.7232  3 Tl 3.04-3.33



three:
The following is a DFT calculation (PBE) of a geometry-optimized Sr3TlIn structure.

Cell: 6.3848 6.3848 6.3848 Å, 90.00 90.00 90.00°
With the nearest neighbours (Å) after each atom.
Space group Pm-3m (No. 221)
Asymmetric unit:
Sr1 0.0000 0.0000 0.5000  2 In 3.19
Tl1 0.5000 0.5000 0.5000  12 Sr 4.51
In1 0.0000 0.0000 0.0000  6 Sr 3.19



one is the most stable structure; the next one sits 0.092 eV/atom above it.